Density functional theory data (meta-GGA SCAN) for a PBEsol-optimized structure of ScCo4P.

Calculated values
- E_form (meV per atom) = -38
- N(E_F) (states/eV/atom) = 0.9078

abc: 6.5917 6.5917 6.5917
angles: 90.00 90.00 90.00
Space group F-43m (No. 216)
Symmetry-distinct sites (fractional):
Sc  0.0000  0.0000  0.0000 [4 per cell]
Co  0.1245  0.1245  0.3755 [16 per cell]
P  0.2500  0.2500  0.7500 [4 per cell]

Density functional theory data (meta-GGA SCAN) for a PBEsol-optimized structure of ScCoP.

Calculated values
- E_form (meV per atom) = -1136
- N(E_F) (states/eV/atom) = 0.7492

abc: 6.1963 3.7078 6.9028
angles: 90.00 90.00 90.00
Space group Pnma (No. 62)
Symmetry-distinct sites (fractional):
Sc  0.0161  0.2500  0.1848 [4 per cell]
Co  0.1463  0.2500  0.5615 [4 per cell]
P  0.2196  0.7500  0.3855 [4 per cell]

Density functional theory data (meta-GGA SCAN) for a PBEsol-optimized structure of ScCoP2.

Calculated values
- E_form (meV per atom) = -757
- N(E_F) (states/eV/atom) = 0.3713

abc: 3.4301 3.6105 4.6950
angles: 90.00 90.00 90.00
Space group Pmmm (No. 47)
Symmetry-distinct sites (fractional):
Sc  0.0000  0.0000  0.0000 [1 per cell]
Co  0.5000  0.0000  0.5000 [1 per cell]
P  0.5000  0.5000  0.2433 [2 per cell]

Density functional theory data (meta-GGA SCAN) for a PBEsol-optimized structure of CoPSe.

abc: 5.5193 5.5193 5.5193
angles: 90.00 90.00 90.00
Space group P2_13 (No. 198)
Symmetry-distinct sites (fractional):
Co  0.0112  0.0112  0.0112 [4 per cell]
P  0.1200  0.8800  0.3800 [4 per cell]
Se  0.1225  0.6225  0.8775 [4 per cell]

Density functional theory data (meta-GGA SCAN) for a PBEsol-optimized structure of CoPSe.

abc: 5.5217 5.5952 11.0582
angles: 90.00 90.00 90.00
Space group Pbca (No. 61)
Symmetry-distinct sites (fractional):
Co  0.0126  0.1798  0.1210 [8 per cell]
P  0.1303  0.6787  0.5641 [8 per cell]
Se  0.1193  0.0684  0.3224 [8 per cell]

Density functional theory data (meta-GGA SCAN) for a PBEsol-optimized structure of Co2PSe.

Calculated values
- N(E_F) (states/eV/atom) = 0.6074

abc: 2.7554 2.7554 6.3526
angles: 90.00 90.00 90.00
Space group P4/mmm (No. 123)
Symmetry-distinct sites (fractional):
Co  0.0000  0.0000  0.1955 [2 per cell]
P  0.5000  0.5000  0.0000 [1 per cell]
Se  0.5000  0.5000  0.5000 [1 per cell]

Density functional theory data (meta-GGA SCAN) for a PBEsol-optimized structure of Co2PSe.

Calculated values
- N(E_F) (states/eV/atom) = 0.5995

abc: 5.7069 5.8452 2.9015
angles: 90.00 90.00 90.00
Space group Cmmm (No. 65)
Symmetry-distinct sites (fractional):
Co  0.2500  0.2500  0.0000 [4 per cell]
P  0.0000  0.0000  0.5000 [2 per cell]
Se  0.0000  0.5000  0.5000 [2 per cell]

Density functional theory data (meta-GGA SCAN) for a PBEsol-optimized structure of CoPSe.

Calculated values
- N(E_F) (states/eV/atom) = 0.5210

abc: 3.2993 3.2993 4.7264
angles: 90.00 90.00 120.00
Space group P3m1 (No. 156)
Symmetry-distinct sites (fractional):
Co  0.0000  0.0000  0.0000 [1 per cell]
P  0.6667  0.3333  0.7715 [1 per cell]
Se  0.3333  0.6667  0.3043 [1 per cell]

Density functional theory data (meta-GGA SCAN) for a PBEsol-optimized structure of Co2PSe2.

Calculated values
- N(E_F) (states/eV/atom) = 0.9738

abc: 3.8631 3.8631 10.0738
angles: 90.00 90.00 90.00
Space group I4/mmm (No. 139)
Symmetry-distinct sites (fractional):
Co  0.0000  0.0000  0.1143 [4 per cell]
P  0.0000  0.0000  0.5000 [2 per cell]
Se  0.0000  0.5000  0.2500 [4 per cell]

Density functional theory data (meta-GGA SCAN) for a PBEsol-optimized structure of Co2SiP.

Calculated values
- N(E_F) (states/eV/atom) = 0.2605

abc: 3.5984 3.8114 6.1974
angles: 90.00 90.00 90.00
Space group Immm (No. 71)
Symmetry-distinct sites (fractional):
Co  0.0000  0.0000  0.2145 [4 per cell]
Si  0.0000  0.5000  0.0000 [2 per cell]
P  0.0000  0.5000  0.5000 [2 per cell]

Density functional theory data (meta-GGA SCAN) for a PBEsol-optimized structure of CoSiP2.

Calculated values
- N(E_F) (states/eV/atom) = 0.2642

abc: 6.4655 3.4666 5.6908
angles: 90.00 119.63 90.00
Space group Cm (No. 8)
Symmetry-distinct sites (fractional):
Co  0.0000  0.0000  0.0000 [2 per cell]
Si  0.2800  0.5000  0.2311 [2 per cell]
P  0.1753  0.5000  0.5611 [2 per cell]
P  0.2632  0.0000  0.8718 [2 per cell]

Density functional theory data (meta-GGA SCAN) for a PBEsol-optimized structure of Co3SiP.

Calculated values
- N(E_F) (states/eV/atom) = 0.4009

abc: 4.0369 4.0369 4.0369
angles: 90.00 90.00 90.00
Space group Pm-3m (No. 221)
Symmetry-distinct sites (fractional):
Co  0.0000  0.0000  0.5000 [3 per cell]
Si  0.5000  0.5000  0.5000 [1 per cell]
P  0.0000  0.0000  0.0000 [1 per cell]

Density functional theory data (meta-GGA SCAN) for a PBEsol-optimized structure of CoSiP2.

Calculated values
- N(E_F) (states/eV/atom) = 0.6490

abc: 2.5645 4.2828 4.4694
angles: 90.00 90.00 90.00
Space group Pmmm (No. 47)
Symmetry-distinct sites (fractional):
Co  0.0000  0.0000  0.0000 [1 per cell]
Si  0.5000  0.5000  0.0000 [1 per cell]
P  0.0000  0.5000  0.5000 [1 per cell]
P  0.5000  0.0000  0.5000 [1 per cell]

Result set for mass density: 7.23 5.65 4.74 6.67 6.57 7.84 7.82 6.29 6.78 6.91 4.46 5.95 5.04 g/cm³, one per record in the order listed.
Result set for VASP energy: -376.3 -181.4 -55.4 -196.6 -394.0 -64.3 -127.5 -47.9 -163.4 -110.9 -95.9 -69.7 -45.7 eV per cell, one per record in the order listed.